1.
Here is a relaxed CaGaMoOs2 crystal from the Alexandria database. Energies are from PBE-GGA.

a b c (Å): 4.5730 4.7477 4.5730
angles (deg): 90.00 90.00 90.00
Fractional coordinates of all 5 atoms:
Ga1 0.0000 0.5000 0.0000
Os1 0.5000 0.0000 0.0000
Mo1 0.5000 0.5000 0.5000
Os2 0.0000 0.0000 0.5000
Ca1 0.0000 0.0000 0.0000

calculated total energy = -4.8940 eV per atom
calculated formation energy = 2770 meV per atom

---

2.
Here is a relaxed RbCaGaMo2 crystal from the Alexandria database. Energies are from PBE-GGA.

a b c (Å): 4.9247 5.5090 4.9247
angles (deg): 90.00 90.00 90.00
Fractional coordinates of all 5 atoms:
Ca1 0.5000 0.5000 0.5000
Rb1 0.0000 0.0000 0.0000
Mo1 0.0000 0.0000 0.5000
Mo2 0.5000 0.0000 0.0000
Ga1 0.0000 0.5000 0.0000

calculated total energy = -3.1665 eV per atom
calculated formation energy = 2365 meV per atom

---

3.
Here is a relaxed CaYGa2Mo crystal from the Alexandria database. Energies are from PBE-GGA.

a b c (Å): 5.0046 5.0046 4.9453
angles (deg): 90.00 90.00 90.00
Fractional coordinates of all 5 atoms:
Y1 0.5000 0.5000 0.5000
Ca1 0.0000 0.0000 0.5000
Mo1 0.0000 0.0000 0.0000
Ga1 0.5000 0.0000 0.0000
Ga2 0.0000 0.5000 0.0000

calculated total energy = -4.7381 eV per atom
calculated formation energy = 332 meV per atom